1.
Below is a relaxed structure of CoTcNi2, with properties calculated at the GGA-PBE level.

a b c (Å): 2.5652 2.5652 7.1643
angles (deg): 90.00 90.00 90.00
Fractional coordinates of all 4 atoms:
Tc 0.0000 0.0000 0.5016
Ni 0.5000 0.5000 0.2396
Ni 0.0000 0.0000 0.9966
Co 0.5000 0.5000 0.7621

ρ: 9.66 g/cm3
Energy above the most stable polymorph in this dataset: 4 meV/atom
Energy of formation from the pure elements: 0.038 eV/atom
D(E_F): 5.3 states/eV/f.u.

---

2.
Below is a relaxed structure of Ce2Tm3In3, with properties calculated at the GGA-PBE level.

a b c (Å): 3.5237 5.4506 11.5903
angles (deg): 76.88 81.25 89.99
Fractional coordinates of all 8 atoms:
Ce 0.7575 0.7995 0.4857
Ce 0.2425 0.2005 0.5143
In 0.5000 0.5000 0.0000
In 0.6192 0.0030 0.7618
In 0.3808 0.9970 0.2382
Tm 0.8780 0.4815 0.2438
Tm 0.1220 0.5185 0.7562
Tm 0.0000 0.0000 0.0000

ρ: 8.77 g/cm3
Energy of formation from the pure elements: -0.309 eV/atom
D(E_F): 12.1 states/eV/f.u.